Na3Np2PaTe6 (PBE, optimized geometry); energy relative to the elements, uncorrected = -0.836 eV per atom
1.0
-3.3397 -5.1464 4.5900
6.7510 3.0573 1.9453
-4.7459 6.3223 1.5038
Na Np Pa Te
3 2 1 6
direct
0.1682 0.8318 0.5000
0.8318 0.1682 0.5000
0.5000 0.5000 0.5000
0.3334 0.6666 0.0000
0.6666 0.3334 0.0000
0.0000 0.0000 0.0000
0.9209 0.5919 0.7628
0.7500 0.7500 0.2370
0.0791 0.4081 0.2372
0.5919 0.9209 0.7628
0.2500 0.2500 0.7630
0.4081 0.0791 0.2372

CrRe2Ru (PBE, optimized geometry); ΔE_f = 111 meV per atom
1.0
-0.0069 -2.6264 0.7145
2.0306 0.8357 3.0912
-4.6022 0.7774 2.8130
Cr Re Ru
1 2 1
direct
0.5000 0.5000 0.7454
0.0000 0.0000 0.9902
0.5000 0.5000 0.2525
0.0000 0.0000 0.5120

ZrCoP2 (PBE, optimized geometry); ΔE_f = -558 meV per atom
1.0
4.0062 0.0000 0.0000
0.0000 3.4609 0.0068
0.0000 1.7128 4.7930
Co P Zr
1 2 1
direct
0.5000 0.9193 0.7870
0.0000 0.8561 0.9138
0.5000 0.1455 0.3328
0.0000 0.5791 0.4664